A geometry-optimized NaLi2NiF8 structure. Source: Alexandria via LeMat-Bulk, functional PBE with a Hubbard U.

Computed properties:
Raw total energy: -46.7 eV per cell
Spin magnetization: 0.18 μB/f.u.

Cell lengths 4.722, 4.330, 6.613 Å; angles 89.94, 89.99, 91.25 degrees
Site moments in Bohr magnetons follow the coordinates.
Element x y z (fractional)
Na 0.000 0.000 0.500  0.00
Li 0.500 0.500 0.779  0.00
Li 0.500 0.500 0.221  0.00
Ni 0.000 0.000 0.000  0.00
F 0.155 0.777 0.200  0.00
F 0.690 0.751 0.000  0.00
F 0.845 0.223 0.200  0.00
F 0.845 0.223 0.800  0.00
F 0.310 0.249 0.000  0.00
F 0.155 0.777 0.800  0.00
F 0.529 0.738 0.500  0.08
F 0.471 0.262 0.500  0.08

=====

A geometry-optimized Na2LiNi3F12 structure. Source: Alexandria via LeMat-Bulk, functional PBE with a Hubbard U.

Computed properties:
Raw total energy: -71.2 eV per cell
Spin magnetization: 3.00 μB/f.u.

Cell lengths 6.597, 6.597, 6.597 Å; angles 66.39, 66.39, 66.39 degrees
Site moments in Bohr magnetons follow the coordinates.
Element x y z (fractional)
Na 0.629 0.629 0.629  0.00
Na 0.371 0.371 0.371  0.00
Li 0.000 0.000 0.000  0.00
Ni 0.500 0.000 0.000  1.06
Ni 0.000 0.500 0.000  1.06
Ni 0.000 0.000 0.500  1.06
F 0.282 0.282 0.883  0.04
F 0.866 0.866 0.420  -0.06
F 0.420 0.866 0.866  -0.06
F 0.883 0.282 0.282  0.04
F 0.866 0.420 0.866  -0.06
F 0.282 0.883 0.282  0.04
F 0.718 0.718 0.117  0.04
F 0.134 0.134 0.580  -0.06
F 0.580 0.134 0.134  -0.06
F 0.117 0.718 0.718  0.04
F 0.134 0.580 0.134  -0.06
F 0.718 0.117 0.718  0.04

=====

A geometry-optimized NaLi2NiF6 structure. Source: Alexandria via LeMat-Bulk, functional PBE with a Hubbard U.

Computed properties:
Raw total energy: -43.3 eV per cell
Spin magnetization: 2.98 μB/f.u.

Cell lengths 5.202, 5.202, 5.636 Å; angles 62.47, 62.50, 59.83 degrees
Site moments in Bohr magnetons follow the coordinates.
Element x y z (fractional)
Na 0.810 0.809 0.571  0.00
Li 0.528 0.525 0.418  0.00
Li 0.015 0.017 0.954  0.00
Ni 0.324 0.324 0.028  2.30
F 0.574 0.245 0.239  0.10
F 0.246 0.942 0.240  0.10
F 0.940 0.573 0.237  0.10
F 0.374 0.712 0.779  0.11
F 0.710 0.141 0.774  0.11
F 0.140 0.373 0.775  0.11

=====

A geometry-optimized NaLi3Ni4F12 structure. Source: Alexandria via LeMat-Bulk, functional PBE with a Hubbard U.

Computed properties:
Raw total energy: -88.8 eV per cell
Spin magnetization: 8.00 μB/f.u.

Cell lengths 6.562, 6.562, 6.562 Å; angles 109.47, 109.47, 109.47 degrees
Site moments in Bohr magnetons follow the coordinates.
Element x y z (fractional)
Na 0.000 0.000 0.000  0.00
Li 0.000 0.500 0.500  0.00
Li 0.500 0.500 0.000  0.00
Li 0.500 0.000 0.500  0.00
Ni 0.500 0.000 0.000  1.84
Ni 0.500 0.500 0.500  1.84
Ni 0.000 0.500 0.000  1.84
Ni 0.000 0.000 0.500  1.84
F 0.308 0.822 0.130  0.05
F 0.692 0.178 0.870  0.05
F 0.692 0.822 0.514  0.05
F 0.870 0.692 0.178  0.05
F 0.822 0.130 0.308  0.05
F 0.178 0.486 0.308  0.05
F 0.486 0.308 0.178  0.05
F 0.178 0.870 0.692  0.05
F 0.308 0.178 0.486  0.05
F 0.130 0.308 0.822  0.05
F 0.822 0.514 0.692  0.05
F 0.514 0.692 0.822  0.05

=====

A geometry-optimized Na3Li2NiF6 structure. Source: Alexandria via LeMat-Bulk, functional PBE with a Hubbard U.

Computed properties:
Raw total energy: -51.1 eV per cell
Spin magnetization: 1.00 μB/f.u.

Cell lengths 5.572, 5.572, 5.381 Å; angles 98.41, 98.41, 122.31 degrees
Site moments in Bohr magnetons follow the coordinates.
Element x y z (fractional)
Na 0.163 0.837 0.500  0.00
Na 0.837 0.163 0.500  0.00
Na 0.500 0.500 0.500  0.00
Li 0.324 0.676 0.000  0.00
Li 0.676 0.324 0.000  0.00
Ni 0.000 0.000 0.000  0.97
F 0.915 0.561 0.768  0.00
F 0.744 0.744 0.227  0.00
F 0.085 0.439 0.232  0.00
F 0.561 0.915 0.768  0.00
F 0.256 0.256 0.773  0.00
F 0.439 0.085 0.232  0.00

=====

A geometry-optimized Na3Li3NiF8 structure. Source: Alexandria via LeMat-Bulk, functional PBE with a Hubbard U.

Computed properties:
Raw total energy: -67.6 eV per cell
Spin magnetization: 2.00 μB/f.u.

Cell lengths 6.104, 6.111, 6.340 Å; angles 118.81, 90.00, 119.96 degrees
Site moments in Bohr magnetons follow the coordinates.
Element x y z (fractional)
Na 0.000 0.000 0.000  0.00
Na 0.000 0.500 0.000  0.00
Na 0.500 0.500 0.000  0.00
Li 0.500 0.000 0.500  0.00
Li 0.500 0.500 0.500  0.00
Li 0.000 0.500 0.500  0.00
Ni 0.000 0.000 0.500  1.81
F 0.259 0.518 0.278  0.00
F 0.741 0.482 0.722  0.00
F 0.770 0.540 0.290  0.03
F 0.230 0.460 0.710  0.03
F 0.770 0.019 0.289  0.03
F 0.230 0.981 0.711  0.03
F 0.249 0.019 0.289  0.03
F 0.751 0.981 0.711  0.03